Computed, not measured: a relaxed NbPb crystal at the PBE level of DFT.

The structure in POSCAR format:
```
NbPb
1.0
5.758 0.000 0.000
0.000 5.758 0.000
0.000 0.000 5.703
Nb Pb
4 4
direct
0.299 0.701 0.000
0.799 0.799 0.500
0.201 0.201 0.500
0.701 0.299 0.000
0.206 0.206 0.000
0.706 0.294 0.500
0.294 0.706 0.500
0.794 0.794 0.000
```

## Properties
Excess energy over the best structure of this formula in the dataset, meV/atom: 498
Formation enthalpy at 0 K, eV/atom: 0.74
Size of the total moment, μB/cell: 0.0
SG: P4_2/mnm (136)
Total DFT energy (no corrections), eV per cell: -49.2